Below is a PBEsol-optimized structure of ZnPt, with properties calculated at the SCAN level.

Geometry as extended XYZ:
```
2
Lattice="2.836 0.000 0.000 0.000 2.836 0.000 0.000 0.000 3.466" Properties=species:S:1:pos:R:3 pbc="T T T"
Pt 1.418 1.418 1.733
Zn 0.000 0.000 0.000
```



Below is a PBEsol-optimized structure of Zn2Pt, with properties calculated at the SCAN level.

Geometry as extended XYZ:
```
24
Lattice="8.000 0.000 0.000 4.000 6.928 0.000 4.000 2.309 6.532" Properties=species:S:1:pos:R:3 pbc="T T T"
Pt 9.531 3.735 2.641
Pt 12.000 5.161 5.524
Pt 6.470 3.735 2.641
Pt 13.531 7.812 5.524
Pt 8.000 6.386 2.641
Pt 10.470 7.812 5.524
Pt 12.000 6.928 3.025
Pt 8.000 4.619 5.140
Zn 8.000 4.619 0.817
Zn 5.558 6.029 1.272
Zn 6.000 5.774 4.083
Zn 10.000 5.774 4.083
Zn 5.558 3.209 5.260
Zn 10.442 6.029 1.272
Zn 2.442 1.410 2.905
Zn 8.000 7.439 5.260
Zn 5.558 1.410 2.905
Zn 8.000 2.309 4.083
Zn 8.000 1.799 1.272
Zn 2.442 3.209 0.361
Zn 5.558 3.209 0.361
Zn 10.442 3.209 5.260
Zn 4.000 4.109 2.905
Zn 4.000 0.510 0.361
```



Number 1: DOS(E_F) 0.187 states/eV/atom, energy relative to the elements -0.62 eV per atom, magnetic moment 0.0 μB per formula unit. Number 2: DOS(E_F) 0.318 states/eV/atom, energy relative to the elements -0.49 eV per atom, magnetic moment 0.0 μB per formula unit.